First-principles (PBE) data for crystalline TmScAlNi at its relaxed geometry, as listed in the Alexandria database.

It has space group F-43m (No. 216), with a = 6.7634 Å, b = 6.7634 Å, c = 6.7634 Å, α = 90.00°, β = 90.00° and γ = 90.00°. The distinct sites, in fractional coordinates, are Tm at (0.0000, 0.0000, 0.0000), Sc at (0.0000, 0.0000, 0.5000), Al at (0.2500, 0.2500, 0.7500) and Ni at (0.2500, 0.2500, 0.2500).

As for the formation energy: -143 kJ/mol of formula units. As for the mass density: 6.4 g cm⁻³. For the volume, the calculation gives 309.4 Å³ per cell.